# 1
PBE Y2InIr, relaxed; calculated formation energy = -0.57 eV/atom
1.0
4.310 0.000 0.000
0.000 3.999 0.000
-2.148 0.000 5.804
Y In Ir
2 1 1
direct
0.000 0.000 0.000
0.300 0.500 0.603
0.705 0.000 0.413
0.540 0.500 0.081

# 2
PBE Sr2TcBr, relaxed; ΔE_f (raw) = 123 kJ/mol of formula units; distance to the lowest polymorph of the same formula = 485 meV/atom
1.0
3.719 0.000 0.000
0.000 3.719 0.000
0.000 0.000 9.828
Sr Tc Br
2 1 1
direct
0.000 0.000 0.000
0.500 0.500 0.371
0.000 0.000 0.573
0.500 0.500 0.826

# 3
PBE TbHoRhAu, relaxed; distance to the lowest polymorph of the same formula = 25 meV/atom; calculated formation energy = -0.83 eV/atom
1.0
0.000 3.518 3.518
3.518 0.000 3.518
3.518 3.518 0.000
Tb Ho Rh Au
1 1 1 1
direct
0.000 0.000 0.000
0.500 0.500 0.500
0.750 0.750 0.750
0.250 0.250 0.250

Number 1: raw total energy -6.7033 eV per atom, DOS at the Fermi energy 3.120 states/eV/f.u.. Number 2: raw total energy -3.5330 eV per atom, DOS at the Fermi energy 4.258 states/eV/f.u.. Number 3: raw total energy -5.7906 eV per atom, DOS at the Fermi energy 3.747 states/eV/f.u..